The following is a DFT calculation (PBE) of a geometry-optimized CuMo2Pb structure.

a b c (Å): 4.5851 4.5851 4.5851
angles (deg): 60.00 60.00 60.00
Closest atoms and distances in Å follow each position.
Sites, in units of the cell vectors:
Cu 0.5000 0.5000 0.5000  4 Mo 2.81, 4 Pb 2.81
Mo 0.0000 0.0000 0.0000  4 Pb 2.81, 4 Mo 2.81
Mo 0.2500 0.2500 0.2500  4 Cu 2.81, 4 Mo 2.81
Pb 0.7500 0.7500 0.7500  4 Mo 2.81, 4 Cu 2.81

Results
- Calculated total energy: -6.7208 eV/atom
- N(E_F): 4.0 states/eV/cell
- Crystal system: cubic
- Space-group type: F-43m (216)
- Formation enthalpy at 0 K: 646 meV/atom